1.
An optimized crystal structure of Nd2YTl9. Source: the Alexandria database, functional PBE.

a b c (Å): 4.816 4.816 14.444
angles (deg): 90.00 90.00 90.00
Space group P4/mmm (No. 123)
Symmetry-distinct sites (fractional):
Nd (0.000, 0.000, 0.168) [2 per cell]
Y (0.000, 0.000, 0.500) [1 per cell]
Tl (0.000, 0.500, 0.000) [2 per cell]
Tl (0.000, 0.500, 0.336) [4 per cell]
Tl (0.500, 0.500, 0.167) [2 per cell]
Tl (0.500, 0.500, 0.500) [1 per cell]

Computed properties:
The value obtained for the volume is 335.0 Å³/cell. The value obtained for the total energy is -3.4036 eV per atom.

=====

2.
An optimized crystal structure of ZrPHO2. Source: the Alexandria database, functional PBE.

a b c (Å): 4.013 4.013 3.052
angles (deg): 90.00 90.00 90.00
Space group P4/mmm (No. 123)
Symmetry-distinct sites (fractional):
Zr (0.000, 0.000, 0.000) [1 per cell]
P (0.500, 0.500, 0.000) [1 per cell]
H (0.500, 0.500, 0.500) [1 per cell]
O (0.000, 0.500, 0.500) [2 per cell]

Computed properties:
The energy above the lowest structure with this stoichiometry comes out at 0.075 eV/atom. The value obtained for the volume is 49.1 Å³/cell.